# PBE-GGA HoPaBi, relaxed
# ρ: 11.54 g cm⁻³
# Distance to the lowest polymorph of the same formula: 0.221 eV per atom
# DOS at the Fermi energy: 2.062 states/eV per atom
# Energy of formation: 107 meV per atom
data_HoPaBi
_cell_length_a 3.404
_cell_length_b 5.435
_cell_length_c 5.435
_cell_angle_alpha 120.00
_cell_angle_beta 90.00
_cell_angle_gamma 90.00
_symmetry_space_group_name_H-M 'P 1'
_symmetry_Int_Tables_number 1
_symmetry_space_group_name_Hall 'P 1'
loop_
_atom_site_label
_atom_site_type_symbol
_atom_site_fract_x
_atom_site_fract_y
_atom_site_fract_z
_atom_site_occupancy
Pa1 Pa 0.053 0.000 0.000 1
Bi1 Bi 0.371 0.333 0.667 1
Ho1 Ho 0.577 0.667 0.333 1

=====

# PBE-GGA HoPaBi2, relaxed
# ρ: 10.65 g cm⁻³
# Distance to the lowest polymorph of the same formula: 0.000 eV per atom
# DOS at the Fermi energy: 1.696 states/eV per atom
# Energy of formation: -425 meV per atom
data_HoPaBi2
_cell_length_a 4.449
_cell_length_b 4.449
_cell_length_c 7.837
_cell_angle_alpha 73.51
_cell_angle_beta 73.51
_cell_angle_gamma 60.00
_symmetry_space_group_name_H-M 'P 1'
_symmetry_Int_Tables_number 1
_symmetry_space_group_name_Hall 'P 1'
loop_
_atom_site_label
_atom_site_type_symbol
_atom_site_fract_x
_atom_site_fract_y
_atom_site_fract_z
_atom_site_occupancy
Ho1 Ho 0.500 0.500 0.500 1
Pa1 Pa 0.000 0.000 0.000 1
Bi1 Bi 0.248 0.248 0.255 1
Bi2 Bi 0.752 0.752 0.745 1